# 1
An optimized crystal structure of Ti6IrN2. Source: Alexandria, functional PBE.

Results
Total magnetic moment in μB per formula unit: 0.0
Total DFT energy (no corrections) in eV/atom: -8.951

Structure (CIF):
```
data_Ti6IrN2
_chemical_formula_sum 'Ti12 Ir2 N4'
_cell_length_a 10.0169
_cell_length_b 4.1046
_cell_length_c 7.2892
_cell_angle_alpha 90.00
_cell_angle_beta 117.73
_cell_angle_gamma 90.00
_symmetry_space_group_name_H-M 'C 1 2/m 1'
_symmetry_Int_Tables_number 12
loop_
_symmetry_equiv_pos_as_xyz
'x,y,z'
'-x,-y,-z'
'-x,y,-z'
'x,-y,z'
'x+1/2,y+1/2,z'
'-x+1/2,-y+1/2,-z'
'-x+1/2,y+1/2,-z'
'x+1/2,-y+1/2,z'
loop_
_atom_site_label
_atom_site_fract_x
_atom_site_fract_y
_atom_site_fract_z
Ti1 0.0203 0.0000 0.1868
Ti2 0.1708 0.5000 0.5752
Ti3 0.1996 0.5000 0.0879
Ir1 0.0000 0.0000 0.5000
N1 0.1847 0.0000 0.0904
```

# 2
An optimized crystal structure of AgB2Ir2. Source: Alexandria, functional PBE.

Results
Total magnetic moment in μB per formula unit: 0.0
Formation enthalpy at 0 K in meV/atom: 63

Structure (CIF):
```
data_AgB2Ir2
_chemical_formula_sum 'Ag1 B2 Ir2'
_cell_length_a 3.9445
_cell_length_b 3.9508
_cell_length_c 5.1043
_cell_angle_alpha 88.67
_cell_angle_beta 88.13
_cell_angle_gamma 89.92
_symmetry_space_group_name_H-M 'P -1'
_symmetry_Int_Tables_number 2
loop_
_symmetry_equiv_pos_as_xyz
'x,y,z'
'-x,-y,-z'
loop_
_atom_site_label
_atom_site_fract_x
_atom_site_fract_y
_atom_site_fract_z
Ag1 0.0000 0.0000 0.0000
B1 0.2575 0.2558 0.3568
Ir1 0.2506 0.7495 0.4993
```

# 3
An optimized crystal structure of PrNdSc. Source: Alexandria, functional PBE.

Results
Total magnetic moment in μB per formula unit: 0.0
Formation enthalpy at 0 K in meV/atom: 64

Structure (CIF):
```
data_PrNdSc
_chemical_formula_sum 'Pr2 Nd2 Sc2'
_cell_length_a 3.5954
_cell_length_b 3.5954
_cell_length_c 14.8047
_cell_angle_alpha 90.00
_cell_angle_beta 90.00
_cell_angle_gamma 90.00
_symmetry_space_group_name_H-M 'I 4 m m'
_symmetry_Int_Tables_number 107
_symmetry_space_group_name_Hall 'I 4 -2'
loop_
_atom_site_label
_atom_site_fract_x
_atom_site_fract_y
_atom_site_fract_z
Pr1 0.0000 0.0000 0.0000
Nd1 0.0000 0.0000 0.6807
Sc1 0.0000 0.0000 0.3396
```

# 4
An optimized crystal structure of NdAsHPd. Source: Alexandria, functional PBE.

Results
Total magnetic moment in μB per formula unit: 0.0
Total DFT energy (no corrections) in eV/atom: -5.406

Structure (CIF):
```
data_NdAsHPd
_chemical_formula_sum 'Nd1 As1 H1 Pd1'
_cell_length_a 4.3883
_cell_length_b 4.3883
_cell_length_c 3.9741
_cell_angle_alpha 90.00
_cell_angle_beta 90.00
_cell_angle_gamma 120.00
_symmetry_space_group_name_H-M 'P 3 m 1'
_symmetry_Int_Tables_number 156
loop_
_symmetry_equiv_pos_as_xyz
'x,y,z'
'-y,x-y,z'
'-x+y,-x,z'
'-y,-x,z'
'-x+y,y,z'
'x,x-y,z'
loop_
_atom_site_label
_atom_site_fract_x
_atom_site_fract_y
_atom_site_fract_z
Nd1 0.0000 0.0000 0.0000
As1 0.3333 0.6667 0.5200
H1 0.6667 0.3333 0.0130
Pd1 0.6667 0.3333 0.4819
```

# 5
An optimized crystal structure of CeTmSn2. Source: Alexandria, functional PBE.

Results
Total magnetic moment in μB per formula unit: 0.8
Formation enthalpy at 0 K in meV/atom: -611

Structure (CIF):
```
data_CeTmSn2
_chemical_formula_sum 'Ce2 Tm2 Sn4'
_cell_length_a 4.3543
_cell_length_b 4.5477
_cell_length_c 11.5024
_cell_angle_alpha 90.00
_cell_angle_beta 90.00
_cell_angle_gamma 90.00
_symmetry_space_group_name_H-M 'A m m 2'
_symmetry_Int_Tables_number 38
loop_
_symmetry_equiv_pos_as_xyz
'x,y,z'
'-x,-y,z'
'-x,y,z'
'x,-y,z'
'x,y+1/2,z+1/2'
'-x,-y+1/2,z+1/2'
'-x,y+1/2,z+1/2'
'x,-y+1/2,z+1/2'
loop_
_atom_site_label
_atom_site_fract_x
_atom_site_fract_y
_atom_site_fract_z
Ce1 0.0000 0.0000 0.0000
Tm1 0.5000 0.0000 0.7331
Sn1 0.0000 0.0000 0.2729
Sn2 0.5000 0.0000 0.4595
```

# 6
An optimized crystal structure of EuScGaAu. Source: Alexandria, functional PBE.

Results
Total magnetic moment in μB per formula unit: 6.8
Formation enthalpy at 0 K in meV/atom: -552

Structure (CIF):
```
data_EuScGaAu
_chemical_formula_sum 'Eu4 Sc4 Ga4 Au4'
_cell_length_a 7.1456
_cell_length_b 7.1456
_cell_length_c 7.1456
_cell_angle_alpha 90.00
_cell_angle_beta 90.00
_cell_angle_gamma 90.00
_symmetry_space_group_name_H-M 'F -4 3 m'
_symmetry_Int_Tables_number 216
_symmetry_space_group_name_Hall 'F -4 2 3'
loop_
_atom_site_label
_atom_site_fract_x
_atom_site_fract_y
_atom_site_fract_z
Eu1 0.0000 0.0000 0.0000
Sc1 0.0000 0.0000 0.5000
Ga1 0.2500 0.2500 0.7500
Au1 0.2500 0.2500 0.2500
```

# 7
An optimized crystal structure of La2YAl. Source: Alexandria, functional PBE.

Results
Total magnetic moment in μB per formula unit: 0.0
Formation enthalpy at 0 K in meV/atom: -170

Structure (CIF):
```
data_La2YAl
_chemical_formula_sum 'La4 Y2 Al2'
_cell_length_a 6.7412
_cell_length_b 5.1265
_cell_length_c 7.1392
_cell_angle_alpha 90.00
_cell_angle_beta 100.45
_cell_angle_gamma 90.00
_symmetry_space_group_name_H-M 'P 1 21/m 1'
_symmetry_Int_Tables_number 11
loop_
_symmetry_equiv_pos_as_xyz
'x,y,z'
'-x,-y,-z'
'-x,y+1/2,-z'
'x,-y+1/2,z'
loop_
_atom_site_label
_atom_site_fract_x
_atom_site_fract_y
_atom_site_fract_z
La1 0.0999 0.2500 0.2940
La2 0.3620 0.7500 0.5929
Y1 0.3318 0.7500 0.0676
Al1 0.1744 0.2500 0.8135
```

# 8
An optimized crystal structure of Ho2Ga4Co3Ni. Source: Alexandria, functional PBE.

Results
Total magnetic moment in μB per formula unit: 0.0
Formation enthalpy at 0 K in meV/atom: -442

Structure (CIF):
```
data_Ho2Ga4Co3Ni
_chemical_formula_sum 'Ho2 Ga4 Co3 Ni1'
_cell_length_a 4.0271
_cell_length_b 4.0271
_cell_length_c 9.9283
_cell_angle_alpha 90.00
_cell_angle_beta 90.00
_cell_angle_gamma 90.00
_symmetry_space_group_name_H-M 'P -4 m 2'
_symmetry_Int_Tables_number 115
loop_
_symmetry_equiv_pos_as_xyz
'x,y,z'
'y,-x,-z'
'-x,-y,z'
'-y,x,-z'
'-x,y,z'
'-y,-x,-z'
'x,-y,z'
'y,x,-z'
loop_
_atom_site_label
_atom_site_fract_x
_atom_site_fract_y
_atom_site_fract_z
Ho1 0.0000 0.5000 0.2463
Ga1 0.0000 0.0000 0.5000
Ga2 0.0000 0.5000 0.8721
Ga3 0.5000 0.5000 0.5000
Co1 0.0000 0.0000 0.0000
Co2 0.0000 0.5000 0.6354
Ni1 0.5000 0.5000 0.0000
```

# 9
An optimized crystal structure of Th6HgC3N2. Source: Alexandria, functional PBE.

Results
Total magnetic moment in μB per formula unit: 0.0
Total DFT energy (no corrections) in eV/atom: -7.969

Structure (CIF):
```
data_Th6HgC3N2
_chemical_formula_sum 'Th12 Hg2 C6 N4'
_cell_length_a 19.6507
_cell_length_b 3.6645
_cell_length_c 7.6152
_cell_angle_alpha 90.00
_cell_angle_beta 111.21
_cell_angle_gamma 90.00
_symmetry_space_group_name_H-M 'C 1 2/m 1'
_symmetry_Int_Tables_number 12
loop_
_symmetry_equiv_pos_as_xyz
'x,y,z'
'-x,-y,-z'
'-x,y,-z'
'x,-y,z'
'x+1/2,y+1/2,z'
'-x+1/2,-y+1/2,-z'
'-x+1/2,y+1/2,-z'
'x+1/2,-y+1/2,z'
loop_
_atom_site_label
_atom_site_fract_x
_atom_site_fract_y
_atom_site_fract_z
Th1 0.0458 0.0000 0.2306
Th2 0.1722 0.5000 0.0405
Th3 0.1862 0.5000 0.5761
Hg1 0.0000 0.5000 0.5000
C1 0.0000 0.5000 0.0000
C2 0.1805 0.0000 0.2976
N1 0.2010 0.0000 0.8296
```

# 10
An optimized crystal structure of YBe2W. Source: Alexandria, functional PBE.

Results
Total magnetic moment in μB per formula unit: 0.0
Formation enthalpy at 0 K in meV/atom: 757

Structure (CIF):
```
data_YBe2W
_chemical_formula_sum 'Y4 Be8 W4'
_cell_length_a 4.2029
_cell_length_b 4.2029
_cell_length_c 16.6703
_cell_angle_alpha 90.00
_cell_angle_beta 90.00
_cell_angle_gamma 90.00
_symmetry_space_group_name_H-M 'I -4 2 d'
_symmetry_Int_Tables_number 122
_symmetry_space_group_name_Hall 'I -4 2bw'
loop_
_atom_site_label
_atom_site_fract_x
_atom_site_fract_y
_atom_site_fract_z
Y1 0.0000 0.0000 0.0000
Be1 0.0062 0.2500 0.6250
W1 0.0000 0.0000 0.5000
```

# 11
An optimized crystal structure of Si2PRuBr. Source: Alexandria, functional PBE.

Results
Total magnetic moment in μB per formula unit: 1.9
Total DFT energy (no corrections) in eV/atom: -3.553

Structure (CIF):
```
data_Si2PRuBr
_chemical_formula_sum 'Si2 P1 Ru1 Br1'
_cell_length_a 4.8137
_cell_length_b 4.8137
_cell_length_c 4.6666
_cell_angle_alpha 90.00
_cell_angle_beta 90.00
_cell_angle_gamma 90.00
_symmetry_space_group_name_H-M 'P 4/m m m'
_symmetry_Int_Tables_number 123
_symmetry_space_group_name_Hall '-P 4 2'
loop_
_atom_site_label
_atom_site_fract_x
_atom_site_fract_y
_atom_site_fract_z
Si1 0.0000 0.5000 0.0000
P1 0.0000 0.0000 0.5000
Ru1 0.5000 0.5000 0.5000
Br1 0.0000 0.0000 0.0000
```

# 12
An optimized crystal structure of PmReTc. Source: Alexandria, functional PBE.

Results
Total magnetic moment in μB per formula unit: 0.0
Formation enthalpy at 0 K in meV/atom: 269

Structure (CIF):
```
data_PmReTc
_chemical_formula_sum 'Pm4 Re4 Tc4'
_cell_length_a 4.2563
_cell_length_b 13.8062
_cell_length_c 4.4500
_cell_angle_alpha 90.00
_cell_angle_beta 90.00
_cell_angle_gamma 90.00
_symmetry_space_group_name_H-M 'C m c m'
_symmetry_Int_Tables_number 63
_symmetry_space_group_name_Hall '-C 2c 2'
loop_
_atom_site_label
_atom_site_fract_x
_atom_site_fract_y
_atom_site_fract_z
Pm1 0.0000 0.0846 0.2500
Re1 0.0000 0.3427 0.2500
Tc1 0.0000 0.2501 0.7500
```

# 13
An optimized crystal structure of Te2AuSeF. Source: Alexandria, functional PBE.

Results
Total magnetic moment in μB per formula unit: 0.0
Total DFT energy (no corrections) in eV/atom: -2.623

Structure (CIF):
```
data_Te2AuSeF
_chemical_formula_sum 'Te2 Au1 Se1 F1'
_cell_length_a 5.0465
_cell_length_b 5.0465
_cell_length_c 4.6662
_cell_angle_alpha 90.00
_cell_angle_beta 90.00
_cell_angle_gamma 90.00
_symmetry_space_group_name_H-M 'P 4/m m m'
_symmetry_Int_Tables_number 123
_symmetry_space_group_name_Hall '-P 4 2'
loop_
_atom_site_label
_atom_site_fract_x
_atom_site_fract_y
_atom_site_fract_z
Te1 0.0000 0.5000 0.0000
Au1 0.0000 0.0000 0.5000
Se1 0.5000 0.5000 0.5000
F1 0.0000 0.0000 0.0000
```

# 14
An optimized crystal structure of ErThCI. Source: Alexandria, functional PBE.

Results
Total magnetic moment in μB per formula unit: 0.0
Total DFT energy (no corrections) in eV/atom: -6.383

Structure (CIF):
```
data_ErThCI
_chemical_formula_sum 'Er3 Th3 C3 I3'
_cell_length_a 3.7417
_cell_length_b 3.7417
_cell_length_c 23.2578
_cell_angle_alpha 90.00
_cell_angle_beta 90.00
_cell_angle_gamma 120.00
_symmetry_space_group_name_H-M 'R 3 m'
_symmetry_Int_Tables_number 160
_symmetry_space_group_name_Hall 'R 3 -2"'
loop_
_atom_site_label
_atom_site_fract_x
_atom_site_fract_y
_atom_site_fract_z
Er1 0.0000 0.0000 0.0000
Th1 0.0000 0.0000 0.2184
C1 0.0000 0.0000 0.6124
I1 0.0000 0.0000 0.7704
```

# 15
An optimized crystal structure of Tb2Al3Ru2. Source: Alexandria, functional PBE.

Results
Total magnetic moment in μB per formula unit: 0.0
Formation enthalpy at 0 K in meV/atom: -599

Structure (CIF):
```
data_Tb2Al3Ru2
_chemical_formula_sum 'Tb4 Al6 Ru4'
_cell_length_a 10.1543
_cell_length_b 4.0395
_cell_length_c 7.2032
_cell_angle_alpha 90.00
_cell_angle_beta 114.29
_cell_angle_gamma 90.00
_symmetry_space_group_name_H-M 'C 1 2/m 1'
_symmetry_Int_Tables_number 12
loop_
_symmetry_equiv_pos_as_xyz
'x,y,z'
'-x,-y,-z'
'-x,y,-z'
'x,-y,z'
'x+1/2,y+1/2,z'
'-x+1/2,-y+1/2,-z'
'-x+1/2,y+1/2,-z'
'x+1/2,-y+1/2,z'
loop_
_atom_site_label
_atom_site_fract_x
_atom_site_fract_y
_atom_site_fract_z
Tb1 0.1454 0.0000 0.2691
Al1 0.0000 0.5000 0.5000
Al2 0.1410 0.5000 0.9399
Ru1 0.1312 0.0000 0.7047
```

# 16
An optimized crystal structure of NaHoEr4Se8. Source: Alexandria, functional PBE.

Results
Total magnetic moment in μB per formula unit: 0.0
Total DFT energy (no corrections) in eV/atom: -5.478

Structure (CIF):
```
data_NaHoEr4Se8
_chemical_formula_sum 'Na3 Ho3 Er12 Se24'
_cell_length_a 8.3946
_cell_length_b 8.3946
_cell_length_c 20.6021
_cell_angle_alpha 90.00
_cell_angle_beta 90.00
_cell_angle_gamma 120.00
_symmetry_space_group_name_H-M 'R 3 m'
_symmetry_Int_Tables_number 160
_symmetry_space_group_name_Hall 'R 3 -2"'
loop_
_atom_site_label
_atom_site_fract_x
_atom_site_fract_y
_atom_site_fract_z
Na1 0.0000 0.0000 0.0000
Ho1 0.0000 0.0000 0.6304
Er1 0.0000 0.0000 0.2505
Er2 0.1734 0.3467 0.4570
Se1 0.0000 0.0000 0.3835
Se2 0.0000 0.0000 0.8652
Se3 0.0262 0.5131 0.3790
Se4 0.1772 0.3544 0.2057
```

# 17
An optimized crystal structure of TmPuTe2N. Source: Alexandria, functional PBE.

Results
Total magnetic moment in μB per formula unit: 3.9
Total DFT energy (no corrections) in eV/atom: -7.890

Structure (CIF):
```
data_TmPuTe2N
_chemical_formula_sum 'Tm2 Pu2 Te4 N2'
_cell_length_a 4.0593
_cell_length_b 4.0593
_cell_length_c 15.6885
_cell_angle_alpha 90.00
_cell_angle_beta 90.00
_cell_angle_gamma 90.00
_symmetry_space_group_name_H-M 'P 4/n m m'
_symmetry_Int_Tables_number 129
loop_
_symmetry_equiv_pos_as_xyz
'x,y,z'
'-x,-y,-z'
'-y+1/2,x,z'
'y+1/2,-x,-z'
'-x+1/2,-y+1/2,z'
'x+1/2,y+1/2,-z'
'y,-x+1/2,z'
'-y,x+1/2,-z'
'x+1/2,-y,-z'
'-x+1/2,y,z'
'-y,-x,-z'
'y,x,z'
'-x,y+1/2,-z'
'x,-y+1/2,z'
'y+1/2,x+1/2,-z'
'-y+1/2,-x+1/2,z'
loop_
_atom_site_label
_atom_site_fract_x
_atom_site_fract_y
_atom_site_fract_z
Tm1 0.2500 0.2500 0.1346
Pu1 0.2500 0.2500 0.5668
Te1 0.2500 0.2500 0.3170
Te2 0.2500 0.2500 0.9178
N1 0.2500 0.7500 0.5000
```

# 18
An optimized crystal structure of YAlSe2. Source: Alexandria, functional PBE.

Results
Total magnetic moment in μB per formula unit: 0.0
Total DFT energy (no corrections) in eV/atom: -4.609

Structure (CIF):
```
data_YAlSe2
_chemical_formula_sum 'Y4 Al4 Se8'
_cell_length_a 7.1551
_cell_length_b 7.1551
_cell_length_c 7.1551
_cell_angle_alpha 90.00
_cell_angle_beta 90.00
_cell_angle_gamma 90.00
_symmetry_space_group_name_H-M 'F -4 3 m'
_symmetry_Int_Tables_number 216
_symmetry_space_group_name_Hall 'F -4 2 3'
loop_
_atom_site_label
_atom_site_fract_x
_atom_site_fract_y
_atom_site_fract_z
Y1 0.0000 0.0000 0.0000
Al1 0.2500 0.2500 0.7500
Se1 0.0000 0.0000 0.5000
Se2 0.2500 0.2500 0.2500
```

# 19
An optimized crystal structure of La4Pr3PuSe8. Source: Alexandria, functional PBE.

Results
Total magnetic moment in μB per formula unit: 5.9
Total DFT energy (no corrections) in eV/atom: -6.656

Structure (CIF):
```
data_La4Pr3PuSe8
_chemical_formula_sum 'La12 Pr9 Pu3 Se24'
_cell_length_a 8.5551
_cell_length_b 8.5551
_cell_length_c 20.9410
_cell_angle_alpha 90.00
_cell_angle_beta 90.00
_cell_angle_gamma 120.00
_symmetry_space_group_name_H-M 'R -3 m'
_symmetry_Int_Tables_number 166
_symmetry_space_group_name_Hall '-R 3 2"'
loop_
_atom_site_label
_atom_site_fract_x
_atom_site_fract_y
_atom_site_fract_z
La1 0.0000 0.0000 0.0000
La2 0.0000 0.5000 0.0000
Pr1 0.0000 0.5000 0.5000
Pu1 0.0000 0.0000 0.5000
Se1 0.0000 0.0000 0.2495
Se2 0.0047 0.5023 0.2482
```

# 20
An optimized crystal structure of Tb2Zn3Ru. Source: Alexandria, functional PBE.

Results
Total magnetic moment in μB per formula unit: 0.0
Formation enthalpy at 0 K in meV/atom: -372

Structure (CIF):
```
data_Tb2Zn3Ru
_chemical_formula_sum 'Tb4 Zn6 Ru2'
_cell_length_a 9.2594
_cell_length_b 5.3575
_cell_length_c 5.4540
_cell_angle_alpha 90.00
_cell_angle_beta 124.46
_cell_angle_gamma 90.00
_symmetry_space_group_name_H-M 'C 1 2/m 1'
_symmetry_Int_Tables_number 12
loop_
_symmetry_equiv_pos_as_xyz
'x,y,z'
'-x,-y,-z'
'-x,y,-z'
'x,-y,z'
'x+1/2,y+1/2,z'
'-x+1/2,-y+1/2,-z'
'-x+1/2,y+1/2,-z'
'x+1/2,-y+1/2,z'
loop_
_atom_site_label
_atom_site_fract_x
_atom_site_fract_y
_atom_site_fract_z
Tb1 0.1279 0.0000 0.3831
Zn1 0.0000 0.5000 0.0000
Zn2 0.2500 0.2500 0.0000
Ru1 0.0000 0.5000 0.5000
```